Entry 1:
DFT (GGA-PBE) results for a geometry-optimized Ac2GaAg5 structure.

Cell lengths 4.749, 8.894, 9.797 Å; angles 90.00, 90.00, 105.48 degrees
Atoms (fractional coordinates):
Ac  0.797  0.594  0.750
Ag  0.184  0.369  0.892
Ag  0.816  0.631  0.392
Ac  0.000  0.000  0.500
Ag  0.647  0.293  0.028
Ag  0.816  0.631  0.108
Ag  0.596  0.193  0.750
Ac  0.000  0.000  0.000
Ga  0.557  0.114  0.250
Ac  0.203  0.406  0.250
Ag  0.353  0.707  0.972
Ag  0.353  0.707  0.528
Ag  0.647  0.293  0.472
Ga  0.443  0.886  0.750
Ag  0.404  0.807  0.250
Ag  0.184  0.369  0.608

* energy relative to the lowest polymorph listed for this composition: 0.000 eV/atom

Entry 2:
DFT (GGA-PBE) results for a geometry-optimized AcGa2Ag9 structure.

Cell lengths 3.370, 9.053, 9.053 Å; angles 120.00, 90.00, 90.00 degrees
Atoms (fractional coordinates):
Ag  0.500  0.377  0.189
Ag  0.500  0.811  0.623
Ag  0.000  0.000  0.500
Ag  0.500  0.623  0.811
Ag  0.500  0.811  0.189
Ag  0.500  0.189  0.377
Ga  0.000  0.333  0.667
Ag  0.500  0.189  0.811
Ag  0.000  0.500  0.500
Ga  0.000  0.667  0.333
Ag  0.000  0.500  0.000
Ac  0.000  0.000  0.000

* energy relative to the lowest polymorph listed for this composition: 0.108 eV/atom

Entry 3:
DFT (GGA-PBE) results for a geometry-optimized AcGa5Ag7 structure.

Cell lengths 5.461, 7.280, 7.280 Å; angles 82.35, 67.97, 67.97 degrees
Atoms (fractional coordinates):
Ag  0.647  0.353  0.353
Ga  0.003  0.497  0.002
Ag  0.279  0.221  0.221
Ga  0.498  0.497  0.002
Ga  0.003  0.002  0.497
Ga  0.727  0.773  0.773
Ag  0.997  0.354  0.652
Ac  0.000  0.000  0.000
Ag  0.997  0.652  0.354
Ga  0.498  0.002  0.497
Ag  0.346  0.654  0.654
Ag  0.502  0.216  0.779
Ag  0.502  0.779  0.216

Formation energy
In order: -0.269, -0.018, -0.152
Unit: eV per atom